Record 1
The following is a DFT calculation (PBE) of a relaxed BaReHg2B crystal.

a b c (Å): 5.0128 4.3873 5.0128
angles (deg): 90.00 90.00 90.00
Last column: nearest neighbours and their distance in Å.
Atoms (fractional coordinates):
1 Hg 0.0000 0.0000 0.5000  2 B 2.51
2 Re 0.0000 0.5000 0.0000  2 B 2.19
3 Hg 0.5000 0.0000 0.0000  2 B 2.51
4 Ba 0.5000 0.5000 0.5000  8 Hg 3.33, 4 Re 3.54
5 B 0.0000 0.0000 0.0000  2 Re 2.19

The value obtained for the formation energy is 733.0 meV/atom. Its space group is P4/mmm.

Record 2
The following is a DFT calculation (PBE) of a relaxed Ba2HgB2S6 crystal.

a b c (Å): 6.4787 6.7584 7.7844
angles (deg): 111.73 90.00 118.64
Last column: nearest neighbours and their distance in Å.
Atoms (fractional coordinates):
1 S 0.8025 0.6051 0.6668  1 B 1.79
2 S 0.1824 0.8827 0.2066  1 B 1.84
3 S 0.2996 0.1173 0.7934  1 B 1.84
4 S 0.7004 0.8827 0.2066  1 B 1.84
5 Hg 0.5000 0.0000 0.5000  4 S 2.68
6 B 0.9680 0.9360 0.7432  3 S 1.79-1.84
7 Ba 0.3033 0.6066 0.7912  9 S 3.24-3.46
8 B 0.0320 0.0640 0.2568  3 S 1.79-1.84
9 S 0.8176 0.1173 0.7934  1 B 1.84
10 S 0.1975 0.3949 0.3332  1 B 1.79
11 Ba 0.6967 0.3934 0.2088  9 S 3.24-3.46

Its final energy is -53.22 eV for the cell shown. Its space group is C2/m.

Record 3
The following is a DFT calculation (PBE) of a relaxed Ba3HoB3O9 crystal.

a b c (Å): 9.4927 9.4927 18.0375
angles (deg): 90.00 90.00 120.00
Last column: nearest neighbours and their distance in Å.
Atoms (fractional coordinates):
1 O 0.1810 0.1810 0.4172  1 B 1.39
2 Ho 0.6667 0.3333 0.0037  6 O 2.23-2.28
3 B 0.0000 0.6674 0.2515  3 O 1.40
4 B 0.6737 0.0000 0.4270  3 O 1.39
5 O 0.1469 0.4859 0.5848  1 B 1.39
6 O 0.1463 0.4724 0.9317  1 B 1.39
7 O 0.4797 0.0000 0.7518  1 B 1.40
8 B 0.0000 0.3326 0.7515  3 O 1.40
9 B 0.6737 0.6737 0.9270  3 O 1.39
10 B 0.3326 0.3326 0.2515  3 O 1.40
11 O 0.8190 0.8190 0.9172  1 B 1.39
12 O 0.8531 0.5141 0.0848  1 B 1.39
13 O 0.3390 0.8531 0.5848  1 B 1.39
14 O 0.6739 0.5276 0.9317  1 B 1.39
15 O 0.5141 0.8531 0.0848  1 B 1.39
16 O 0.6739 0.1463 0.4317  1 B 1.39
17 Ba 0.0000 0.0000 0.2840  9 O 2.81-2.95
18 O 0.5203 0.5203 0.7518  1 B 1.40
19 O 0.8058 0.0000 0.0697  1 B 1.40
20 O 0.4859 0.1469 0.5848  1 B 1.39
21 O 0.8531 0.3390 0.5848  1 B 1.39
22 O 0.0000 0.8190 0.4172  1 B 1.39
23 O 0.1469 0.6610 0.0848  1 B 1.39
24 O 0.3261 0.8537 0.9317  1 B 1.39
25 Ba 0.3484 0.0000 0.3699  9 O 2.68-2.99
26 Ba 0.3173 0.3173 0.6313  9 O 2.74-2.96
27 O 0.1463 0.6739 0.4317  1 B 1.39
28 O 0.0000 0.5203 0.2518  1 B 1.40
29 B 0.3402 0.3402 0.0795  3 O 1.39-1.40
30 O 0.1857 0.3327 0.2511  1 B 1.40
31 Ba 0.6827 0.0000 0.6313  9 O 2.74-2.96
32 Ba 0.3173 0.0000 0.1313  9 O 2.74-2.96
33 O 0.8529 0.6673 0.2511  1 B 1.40
34 O 0.0000 0.1942 0.5697  1 B 1.40
35 B 0.3402 0.0000 0.5795  3 O 1.39-1.40
36 Ba 0.0000 0.3173 0.1313  9 O 2.74-2.96
37 O 0.0000 0.4797 0.7518  1 B 1.40
38 O 0.1942 0.1942 0.0697  1 B 1.40
39 O 0.1471 0.3327 0.7511  1 B 1.40
40 Ho 0.0000 0.0000 0.9977  6 O 2.25
41 B 0.6598 0.0000 0.0795  3 O 1.39-1.40
42 B 0.0000 0.6737 0.4270  3 O 1.39
43 Ba 0.3484 0.3484 0.8699  9 O 2.68-2.99
44 Ho 0.3333 0.6667 0.5037  6 O 2.23-2.28
45 O 0.3327 0.1857 0.2511  1 B 1.40
46 Ba 0.6516 0.0000 0.8699  9 O 2.68-2.99
47 Ho 0.0000 0.0000 0.4977  6 O 2.25
48 O 0.0000 0.1810 0.9172  1 B 1.39
49 B 0.3326 0.0000 0.7515  3 O 1.40
50 Ba 0.6667 0.3333 0.2233  9 O 2.79-3.05
51 O 0.5203 0.0000 0.2518  1 B 1.40
52 O 0.8537 0.3261 0.9317  1 B 1.39
53 Ba 0.6516 0.6516 0.3699  9 O 2.68-2.99
54 B 0.6674 0.6674 0.7515  3 O 1.40
55 O 0.4724 0.3261 0.4317  1 B 1.39
56 O 0.1471 0.8143 0.2511  1 B 1.40
57 Ba 0.3333 0.6667 0.2233  9 O 2.79-3.05
58 O 0.3327 0.1471 0.7511  1 B 1.40
59 Ho 0.3333 0.6667 0.0037  6 O 2.23-2.28
60 O 0.5141 0.6610 0.5848  1 B 1.39
61 O 0.4724 0.1463 0.9317  1 B 1.39
62 O 0.1810 0.0000 0.9172  1 B 1.39
63 O 0.6610 0.1469 0.0848  1 B 1.39
64 O 0.8143 0.6673 0.7511  1 B 1.40
65 Ba 0.3333 0.6667 0.7233  9 O 2.79-3.05
66 B 0.0000 0.6598 0.0795  3 O 1.39-1.40
67 B 0.0000 0.3263 0.9270  3 O 1.39
68 Ba 0.6667 0.3333 0.7233  9 O 2.79-3.05
69 O 0.6610 0.5141 0.5848  1 B 1.39
70 O 0.8190 0.0000 0.4172  1 B 1.39
71 Ho 0.6667 0.3333 0.5037  6 O 2.23-2.28
72 B 0.0000 0.3402 0.5795  3 O 1.39-1.40
73 O 0.1857 0.8529 0.7511  1 B 1.40
74 Ba 0.0000 0.6827 0.6313  9 O 2.74-2.96
75 O 0.3390 0.4859 0.0848  1 B 1.39
76 Ba 0.0000 0.0000 0.7840  9 O 2.81-2.95
77 O 0.6673 0.8143 0.7511  1 B 1.40
78 O 0.8537 0.5276 0.4317  1 B 1.39
79 O 0.5276 0.6739 0.9317  1 B 1.39
80 O 0.0000 0.8058 0.0697  1 B 1.40
81 O 0.4859 0.3390 0.0848  1 B 1.39
82 O 0.8143 0.1471 0.2511  1 B 1.40
83 O 0.1942 0.0000 0.5697  1 B 1.40
84 O 0.8529 0.1857 0.7511  1 B 1.40
85 O 0.6673 0.8529 0.2511  1 B 1.40
86 O 0.3261 0.4724 0.4317  1 B 1.39
87 B 0.6598 0.6598 0.5795  3 O 1.39-1.40
88 Ba 0.0000 0.3484 0.3699  9 O 2.68-2.99
89 B 0.3263 0.0000 0.9270  3 O 1.39
90 Ba 0.0000 0.6516 0.8699  9 O 2.68-2.99
91 Ba 0.6827 0.6827 0.1313  9 O 2.74-2.96
92 B 0.6674 0.0000 0.2515  3 O 1.40
93 B 0.3263 0.3263 0.4270  3 O 1.39
94 O 0.4797 0.4797 0.2518  1 B 1.40
95 O 0.5276 0.8537 0.4317  1 B 1.39
96 O 0.8058 0.8058 0.5697  1 B 1.40

Its final energy is -729.63 eV for the cell shown. Its space group is P6_3cm.

Calculated volume in Å³/cell, matching the order above: 110, 271, 1408